Crystalline Ba2BPPd6 at its relaxed geometry. Source: Alexandria, functional PBE.

Calculated values
* energy of formation: -0.56 eV per atom
* total moment: 0.000 μB per atom
* DFT total energy: -52.7 eV per cell

a = 6.134 Å, b = 6.134 Å, c = 6.931 Å
α = 116.18°, β = 116.18°, γ = 60.23°
Fractional positions:
Ba  0.220  0.220  0.161
Ba  0.780  0.780  0.839
B  0.000  0.000  0.500
P  0.500  0.500  0.000
Pd  0.237  0.237  0.678
Pd  0.237  0.702  0.677
Pd  0.298  0.763  0.323
Pd  0.702  0.237  0.677
Pd  0.763  0.298  0.323
Pd  0.763  0.763  0.322

=====

Crystalline Ba2BPPt6 at its relaxed geometry. Source: Alexandria, functional PBE.

Calculated values
* energy of formation: -0.64 eV per atom
* total moment: 0.000 μB per atom
* DFT total energy: -58.6 eV per cell

a = 6.664 Å, b = 6.664 Å, c = 6.664 Å
α = 57.09°, β = 57.09°, γ = 57.09°
Fractional positions:
Ba  0.212  0.212  0.212
Ba  0.788  0.788  0.788
B  0.000  0.000  0.000
P  0.500  0.500  0.500
Pt  0.242  0.242  0.680
Pt  0.242  0.680  0.242
Pt  0.320  0.758  0.758
Pt  0.680  0.242  0.242
Pt  0.758  0.320  0.758
Pt  0.758  0.758  0.320

=====

Crystalline BaBP2S at its relaxed geometry. Source: Alexandria, functional PBE.

Calculated values
* total moment: 0.000 μB per atom
* DFT total energy: -22.9 eV per cell
* relative energy among the computed polymorphs: 0 meV/atom
* energy relative to the elements, uncorrected: 0.1254 eV/atom

a = 4.249 Å, b = 4.249 Å, c = 5.698 Å
α = 90.00°, β = 90.00°, γ = 90.00°
Fractional positions:
Ba  0.000  0.000  0.000
B  0.500  0.500  0.500
P  0.000  0.500  0.500
P  0.500  0.000  0.500
S  0.500  0.500  0.000